Density functional theory data (PBE with a Hubbard U) for a relaxed Rb2Ni3F8 crystal.

The value obtained for the final energy is -0.1568 hartree per atom.

It has space group C2/m (No. 12), with a = 13.0918 Å, b = 6.3088 Å, c = 5.4179 Å, α = 90.00°, β = 108.41° and γ = 90.00°. The asymmetric unit holds Rb at (0.2253, 0.0000, 0.1765), Ni at (0.0000, 0.2440, 0.5000), Ni at (0.0000, 0.5000, 0.0000), F at (0.0853, 0.2811, 0.8786), F at (0.0857, 0.5000, 0.3986) and F at (0.0954, 0.0000, 0.4702).